Record 1
A plane-wave DFT calculation with PBE-GGA was carried out for a relaxed GaOsS2N crystal.

Lattice parameters (Å, degrees): 4.7468 4.7468 3.5328 90.00 90.00 90.00
Closest atoms and distances in Å follow each position.
Positions (direct):
N (0.0000, 0.0000, 0.5000)  2 Ga 1.77
S (0.0000, 0.5000, 0.0000)  2 Ga 2.37
S (0.5000, 0.0000, 0.0000)  2 Ga 2.37
Os (0.5000, 0.5000, 0.5000)  8 S 2.96
Ga (0.0000, 0.0000, 0.0000)  2 N 1.77

Calculated values
The uncorrected formation energy is 7.316 eV/f.u. The value obtained for the excess energy over the best structure of this formula in the dataset is 1115 meV per atom.

Record 2
A plane-wave DFT calculation with PBE-GGA was carried out for a relaxed NdMg2Au crystal.

Lattice parameters (Å, degrees): 5.7274 8.1710 16.5500 90.00 90.00 90.00
Closest atoms and distances in Å follow each position.
Positions (direct):
Nd (0.7472, 0.2500, 0.8946)  3 Au 3.12-3.16, 6 Mg 3.44-3.47
Nd (0.4476, 0.2500, 0.1380)  3 Au 3.04-3.17
Nd (0.5524, 0.7500, 0.8620)  3 Au 3.04-3.17
Nd (0.7528, 0.2500, 0.3946)  3 Au 3.12-3.16, 6 Mg 3.44-3.47
Nd (0.9476, 0.7500, 0.3620)  3 Au 3.04-3.17
Nd (0.0524, 0.2500, 0.6380)  3 Au 3.04-3.17
Nd (0.2472, 0.7500, 0.6054)  3 Au 3.12-3.16, 6 Mg 3.44-3.47
Nd (0.2528, 0.7500, 0.1054)  3 Au 3.12-3.16, 6 Mg 3.44-3.47
Mg (0.0460, 0.9450, 0.7858)  3 Au 2.80-2.89
Mg (0.9540, 0.4450, 0.2142)  3 Au 2.80-2.89
Mg (0.7524, 0.5548, 0.0377)  3 Au 2.80-2.90
Mg (0.9540, 0.0550, 0.2142)  3 Au 2.80-2.89
Mg (0.4540, 0.5550, 0.2858)  3 Au 2.80-2.89
Mg (0.2476, 0.4452, 0.9623)  3 Au 2.80-2.90
Mg (0.2476, 0.0548, 0.9623)  3 Au 2.80-2.90
Mg (0.7524, 0.9452, 0.0377)  3 Au 2.80-2.90
Mg (0.4540, 0.9450, 0.2858)  3 Au 2.80-2.89
Mg (0.2524, 0.4452, 0.4623)  3 Au 2.80-2.90
Mg (0.5460, 0.0550, 0.7142)  3 Au 2.80-2.89
Mg (0.0460, 0.5550, 0.7858)  3 Au 2.80-2.89
Mg (0.7476, 0.9452, 0.5377)  3 Au 2.80-2.90
Mg (0.2524, 0.0548, 0.4623)  3 Au 2.80-2.90
Mg (0.7476, 0.5548, 0.5377)  3 Au 2.80-2.90
Mg (0.5460, 0.4450, 0.7142)  3 Au 2.80-2.89
Au (0.5439, 0.2500, 0.5686)  6 Mg 2.80-2.90, 3 Nd 3.04-3.13
Au (0.7507, 0.7500, 0.6828)  6 Mg 2.80-2.88, 1 Nd 3.12
Au (0.4561, 0.7500, 0.4314)  6 Mg 2.80-2.90, 3 Nd 3.04-3.13
Au (0.9561, 0.2500, 0.0686)  6 Mg 2.80-2.90, 3 Nd 3.04-3.13
Au (0.0439, 0.7500, 0.9314)  6 Mg 2.80-2.90, 3 Nd 3.04-3.13
Au (0.7493, 0.7500, 0.1828)  6 Mg 2.80-2.88, 1 Nd 3.12
Au (0.2493, 0.2500, 0.3172)  6 Mg 2.80-2.88, 1 Nd 3.12
Au (0.2507, 0.2500, 0.8172)  6 Mg 2.80-2.88, 1 Nd 3.12

Calculated values
For the electronic total energy, the calculation gives -3.3046 eV/atom.

Record 3
A plane-wave DFT calculation with PBE-GGA was carried out for a relaxed La2Sm9Y3 crystal.

Lattice parameters (Å, degrees): 5.5503 13.0383 13.0383 46.23 50.30 50.30
Closest atoms and distances in Å follow each position.
Positions (direct):
Sm (0.3863, 0.6480, 0.0947)  1 Y 3.19, 3 Sm 3.20-3.25, 2 La 3.55-3.56
Sm (0.0732, 0.1592, 0.4590)  4 Sm 3.07-3.25
Sm (0.0732, 0.4590, 0.1592)  4 Sm 3.07-3.25
Sm (0.0000, 0.5000, 0.5000)  4 Sm 3.60, 4 La 3.89
Sm (0.6137, 0.3520, 0.9053)  1 Y 3.19, 3 Sm 3.20-3.25, 2 La 3.55-3.56
Sm (0.9268, 0.5410, 0.8408)  4 Sm 3.07-3.25
Sm (0.9268, 0.8408, 0.5410)  4 Sm 3.07-3.25
Sm (0.6137, 0.9053, 0.3520)  1 Y 3.19, 3 Sm 3.20-3.25, 2 La 3.55-3.56
Sm (0.3863, 0.0947, 0.6480)  1 Y 3.19, 3 Sm 3.20-3.25, 2 La 3.55-3.56
Y (0.9597, 0.1802, 0.1802)  10 Sm 3.59-3.87, 2 La 3.92
Y (0.0403, 0.8198, 0.8198)  10 Sm 3.59-3.87, 2 La 3.92
Y (0.0000, 0.0000, 0.0000)  4 Sm 3.19
La (0.5000, 0.2334, 0.7666)  8 Sm 3.50-3.89, 4 Y 3.66-3.92
La (0.5000, 0.7666, 0.2334)  8 Sm 3.50-3.89, 4 Y 3.66-3.92

Calculated values
For the electronic total energy, the calculation gives -4.8458 eV/atom.

Record 4
A plane-wave DFT calculation with PBE-GGA was carried out for a relaxed MgCoRe crystal.

Lattice parameters (Å, degrees): 6.7922 4.7376 2.7155 90.04 89.97 102.55
Closest atoms and distances in Å follow each position.
Positions (direct):
Co (0.4950, 0.2503, 0.8859)  6 Re 2.52-2.81, 3 Co 2.56-2.72, 1 Mg 2.69
Co (0.8068, 0.0297, 0.8857)  4 Re 2.51-2.65, 3 Co 2.56-2.72, 2 Mg 2.71-2.72
Mg (0.1612, 0.4710, 0.8841)  2 Co 2.69-2.82, 6 Mg 2.72-2.75, 4 Re 2.84-2.88
Mg (0.1405, 0.9674, 0.3831)  4 Co 2.71-2.84, 6 Mg 2.72-2.75, 2 Re 2.85-2.86
Re (0.5109, 0.7747, 0.3857)  4 Co 2.51-2.65, 3 Re 2.53-2.72
Re (0.7936, 0.5045, 0.3862)  6 Co 2.52-2.82, 3 Re 2.53-2.72

Calculated values
The value obtained for the excess energy over the best structure of this formula in the dataset is 136 meV per atom.

Record 5
A plane-wave DFT calculation with PBE-GGA was carried out for a relaxed CuAs2PBr crystal.

Lattice parameters (Å, degrees): 4.7862 4.7862 4.7016 90.00 90.00 90.00
Closest atoms and distances in Å follow each position.
Positions (direct):
As (0.0000, 0.5000, 0.0000)  2 Cu 2.39
As (0.5000, 0.0000, 0.0000)  2 Cu 2.39
Cu (0.0000, 0.0000, 0.0000)  2 Br 2.35, 4 As 2.39
P (0.5000, 0.5000, 0.5000)  8 As 3.35, 4 Br 3.38
Br (0.0000, 0.0000, 0.5000)  2 Cu 2.35

Calculated values
The uncorrected formation energy is 4.380 eV/f.u. The value obtained for the excess energy over the best structure of this formula in the dataset is 0 meV per atom.

Record 6
A plane-wave DFT calculation with PBE-GGA was carried out for a relaxed NaTlNO crystal.

Lattice parameters (Å, degrees): 3.3650 3.3650 6.1077 90.00 90.00 120.00
Closest atoms and distances in Å follow each position.
Positions (direct):
N (0.6667, 0.3333, 0.6572)  3 Tl 2.37, 3 Na 2.63
O (0.3333, 0.6667, 0.2153)  3 Tl 2.36, 3 Na 2.54
Tl (0.0000, 0.0000, 0.4345)  3 O 2.36, 3 N 2.37
Na (0.0000, 0.0000, 0.9486)  3 O 2.54, 3 N 2.63

Calculated values
The uncorrected formation energy is 0.364 eV/f.u. The value obtained for the excess energy over the best structure of this formula in the dataset is 213 meV per atom.

Record 7
A plane-wave DFT calculation with PBE-GGA was carried out for a relaxed NbReSb2 crystal.

Lattice parameters (Å, degrees): 6.3199 6.3199 7.4475 64.89 64.89 90.00
Closest atoms and distances in Å follow each position.
Positions (direct):
Nb (0.5000, 0.5000, 0.0000)  4 Sb 2.78
Nb (0.2500, 0.7500, 0.5000)  4 Sb 2.78
Sb (0.1013, 0.6250, 0.2500)  2 Re 2.60, 2 Nb 2.78
Sb (0.3750, 0.3513, 0.7500)  2 Re 2.60, 2 Nb 2.78
Sb (0.6487, 0.1250, 0.2500)  2 Re 2.60, 2 Nb 2.78
Sb (0.8750, 0.8987, 0.7500)  2 Re 2.60, 2 Nb 2.78
Re (0.7500, 0.2500, 0.5000)  4 Sb 2.60
Re (0.0000, 0.0000, 0.0000)  4 Sb 2.60

Calculated values
The uncorrected formation energy is 4.577 eV/f.u. The value obtained for the excess energy over the best structure of this formula in the dataset is 836 meV per atom.

Record 8
A plane-wave DFT calculation with PBE-GGA was carried out for a relaxed Cs4BiI2 crystal.

Lattice parameters (Å, degrees): 7.1622 7.1622 11.5087 71.87 71.87 90.00
Closest atoms and distances in Å follow each position.
Positions (direct):
I (0.6350, 0.6350, 0.7299)  1 Cs 3.77
I (0.3650, 0.3650, 0.2701)  1 Cs 3.77
Cs (0.5000, 0.0000, 0.0000)  2 Bi 3.58
Cs (0.8172, 0.8172, 0.3655)  1 I 3.77, 1 Bi 3.78
Cs (0.0000, 0.5000, 0.0000)  2 Bi 3.58
Cs (0.1828, 0.1828, 0.6345)  1 I 3.77, 1 Bi 3.78
Bi (0.0000, 0.0000, 0.0000)  6 Cs 3.58-3.78

Calculated values
The uncorrected formation energy is -5.810 eV/f.u.

Calculated calculated volume, 79.6; 774.5; 490.3; 85.3; 107.7; 59.9; 238.0; 530.1 Å³/cell (same order as the records).